(1)
The following is a PBE calculation of a geometry-optimized Sr4PCl structure, from Alexandria via LeMat-Bulk.

abc: 9.935 9.935 9.935
angles: 90.00 90.00 90.00
Space group F-43m (No. 216)
Inequivalent atoms, fractional coordinates:
Sr 0.124 0.124 0.376 [16 per cell]
P 0.250 0.250 0.750 [4 per cell]
Cl 0.000 0.000 0.000 [4 per cell]

For the total energy, the calculation gives -2.161 eV/atom. The calculation puts the density of states at the Fermi level at 28.2 states/eV per cell. The density comes out at 2.824 g/cm3. The formation energy without anion corrections is 0.170 eV per atom.

(2)
The following is a PBE calculation of a geometry-optimized Tc3P structure, from Alexandria via LeMat-Bulk.

abc: 2.947 3.072 6.669
angles: 90.00 90.00 90.00
Space group Pmm2 (No. 25)
Inequivalent atoms, fractional coordinates:
Tc 0.000 0.000 0.000 [1 per cell]
Tc 0.000 0.500 0.437 [1 per cell]
Tc 0.500 0.500 0.777 [1 per cell]
P 0.500 0.000 0.288 [1 per cell]

The energy of formation comes out at -0.07 eV/atom. For the total energy, the calculation gives -9.202 eV/atom. The calculation puts the density of states at the Fermi level at 2.3 states/eV per cell. The density comes out at 8.937 g/cm3. The relative energy among the computed polymorphs is 265 meV per atom.

(3)
The following is a PBE calculation of a geometry-optimized Th4SbPtSe2 structure, from Alexandria via LeMat-Bulk.

abc: 7.399 4.218 7.680
angles: 90.00 108.76 90.00
Space group P2/m (No. 10)
Inequivalent atoms, fractional coordinates:
Th 0.235 0.000 0.227 [2 per cell]
Th 0.259 0.500 0.767 [2 per cell]
Sb 0.000 0.000 0.500 [1 per cell]
Pt 0.000 0.500 0.000 [1 per cell]
Se 0.500 0.000 0.000 [1 per cell]
Se 0.500 0.500 0.500 [1 per cell]

For the total energy, the calculation gives -7.122 eV/atom. The calculation puts the density of states at the Fermi level at 6.6 states/eV per cell. The density comes out at 10.265 g/cm3. The formation energy without anion corrections is -1.271 eV per atom.

(4)
The following is a PBE calculation of a geometry-optimized PmNd3Sm7 structure, from Alexandria via LeMat-Bulk.

abc: 11.842 10.218 6.485
angles: 90.00 95.24 90.00
Space group C2/m (No. 12)
Inequivalent atoms, fractional coordinates:
Pm 0.000 0.000 0.000 [2 per cell]
Nd 0.000 0.327 0.500 [4 per cell]
Nd 0.000 0.500 0.000 [2 per cell]
Sm 0.000 0.000 0.500 [2 per cell]
Sm 0.238 0.500 0.712 [4 per cell]
Sm 0.246 0.173 0.761 [8 per cell]

The energy of formation comes out at 0.22 eV/atom. For the total energy, the calculation gives -4.518 eV/atom. The calculation puts the density of states at the Fermi level at 30.4 states/eV per cell. The density comes out at 6.929 g/cm3. The relative energy among the computed polymorphs is 0 meV per atom.

(5)
The following is a PBE calculation of a geometry-optimized Ag3HgF3 structure, from Alexandria via LeMat-Bulk.

abc: 6.655 6.655 6.655
angles: 90.00 90.00 90.00
Space group Pm-3n (No. 223)
Inequivalent atoms, fractional coordinates:
Ag 0.000 0.250 0.500 [6 per cell]
Hg 0.000 0.000 0.000 [2 per cell]
F 0.000 0.500 0.250 [6 per cell]

For the total energy, the calculation gives -2.876 eV/atom. The calculation puts the density of states at the Fermi level at 0.0 states/eV per cell. The density comes out at 6.547 g/cm3. The relative energy among the computed polymorphs is 130 meV per atom. The formation energy without anion corrections is -0.809 eV per atom.

(6)
The following is a PBE calculation of a geometry-optimized Na5Tl2Hg2Pb structure, from Alexandria via LeMat-Bulk.

abc: 11.140 11.140 4.717
angles: 90.00 90.00 90.00
Space group P4/mbm (No. 127)
Inequivalent atoms, fractional coordinates:
Na 0.000 0.500 0.000 [2 per cell]
Na 0.088 0.189 0.000 [8 per cell]
Tl 0.167 0.667 0.500 [4 per cell]
Hg 0.131 0.369 0.500 [4 per cell]
Pb 0.000 0.000 0.500 [2 per cell]

The energy of formation comes out at -0.10 eV/atom. For the total energy, the calculation gives -1.667 eV/atom. The calculation puts the density of states at the Fermi level at 9.8 states/eV per cell. The density comes out at 6.424 g/cm3.

> Look up the density of states at the Fermi level of the third one.

6.6 states/eV per cell

> The highest density of states at the Fermi level belongs to which entry?

PmNd3Sm7

> Which value of density of states at the Fermi level does entry 5 give?

0.0 states/eV per cell

Please write out number 5 again, unchanged.
The following is a PBE calculation of a geometry-optimized Ag3HgF3 structure, from Alexandria via LeMat-Bulk.

abc: 6.655 6.655 6.655
angles: 90.00 90.00 90.00
Space group Pm-3n (No. 223)
Inequivalent atoms, fractional coordinates:
Ag 0.000 0.250 0.500 [6 per cell]
Hg 0.000 0.000 0.000 [2 per cell]
F 0.000 0.500 0.250 [6 per cell]

For the total energy, the calculation gives -2.876 eV/atom. The calculation puts the density of states at the Fermi level at 0.0 states/eV per cell. The density comes out at 6.547 g/cm3. The relative energy among the computed polymorphs is 130 meV per atom. The formation energy without anion corrections is -0.809 eV per atom.